{"formula": "SrTmAgPb", "functional": "PBE", "state": "optimized geometry", "cell": [[5.4446, 0.0000, 0.0000], [2.7223, 4.7151, 0.0000], [2.7223, 1.5717, 4.4455]], "species": ["Sr", "Tm", "Ag", "Pb"], "frac_coords": [[0.5000, 0.5000, 0.5000], [0.0000, 0.0000, 0.0000], [0.2500, 0.2500, 0.2500], [0.7500, 0.7500, 0.7500]], "total_magnetization_mub_per_atom": 0.000, "formation_energy_ev_per_atom": -0.364, "space_group": "No. 216"}

---

{"formula": "TbZn4Co2", "functional": "PBE", "state": "optimized geometry", "cell": [[4.3739, -0.0023, 2.3353], [2.0267, 4.5900, 1.4598], [0.0191, -0.3305, 5.2151]], "species": ["Co", "Co", "Zn", "Zn", "Zn", "Zn", "Tb"], "frac_coords": [[0.2497, 0.5002, 0.5002], [0.7503, 0.4998, 0.4998], [0.3062, 0.9999, 0.3880], [0.6938, 0.0001, 0.6120], [0.6938, 0.6120, 0.0001], [0.3062, 0.3880, 0.9999], [0.0000, 0.0000, 0.0000]], "total_magnetization_mub_per_atom": 0.351, "formation_energy_ev_per_atom": -0.180, "space_group": "No. 12"}